(1)
This record from Alexandria via LeMat-Bulk describes HfCdS2Cl after structural relaxation. The functional is PBE.

Properties
Energy above the most stable polymorph in this dataset = 1173 meV per atom
Formation energy (no corrections) = 1.6 eV per formula unit

abc: 4.988 4.988 4.817
angles: 90.00 90.00 90.00
Space group P4/mmm (No. 123)
Inequivalent atoms, fractional coordinates:
Hf 0.000 0.000 0.000
Cd 0.500 0.500 0.500
S 0.000 0.500 0.500
Cl 0.500 0.500 0.000

(2)
This record from Alexandria via LeMat-Bulk describes HfCdS2Cl after structural relaxation. The functional is PBE.

Properties
Energy above the most stable polymorph in this dataset = 0 meV per atom
Formation energy (no corrections) = -4.2 eV per formula unit

abc: 4.975 4.975 4.982
angles: 90.00 90.00 90.00
Space group P4/mmm (No. 123)
Inequivalent atoms, fractional coordinates:
Hf 0.000 0.000 0.000
Cd 0.500 0.500 0.500
S 0.000 0.500 0.000
Cl 0.000 0.000 0.500

(3)
This record from Alexandria via LeMat-Bulk describes SrHfCdCl2 after structural relaxation. The functional is PBE.

Properties
Formation energy (no corrections) = -0.5 eV per formula unit

abc: 5.350 5.350 7.008
angles: 90.00 90.00 90.00
Space group P4/mmm (No. 123)
Inequivalent atoms, fractional coordinates:
Sr 0.000 0.000 0.000
Hf 0.500 0.500 0.500
Cd 0.000 0.000 0.500
Cl 0.000 0.500 0.000

(4)
This record from Alexandria via LeMat-Bulk describes HfVCd2Cl after structural relaxation. The functional is PBE.

Properties
Formation energy (no corrections) = 3.6 eV per formula unit

abc: 5.276 5.276 4.217
angles: 90.00 90.00 90.00
Space group P4/mmm (No. 123)
Inequivalent atoms, fractional coordinates:
Hf 0.000 0.000 0.000
V 0.500 0.500 0.500
Cd 0.000 0.500 0.500
Cl 0.500 0.500 0.000

Number 1: E -3.870 eV per atom. Number 2: E -5.044 eV per atom. Number 3: E -3.353 eV per atom. Number 4: E -3.833 eV per atom.